Record 1
Compound: La3OsI3
Source: the Alexandria database
Functional: GGA-PBE
Structure: optimized geometry

Properties
Fermi-level density of states in states/eV/atom: 0.2255
Crystal system: monoclinic
Relative energy among the computed polymorphs in eV per atom: 0.000
Energy in eV per atom: -5.465

Lattice parameters (Å, degrees): 9.515 4.411 12.679 90.00 93.16 90.00
Space group P2_1/m (No. 11)
Inequivalent atoms, fractional coordinates:
La 0.094 0.250 0.395 [2 per cell]
La 0.116 0.250 0.832 [2 per cell]
La 0.314 0.750 0.620 [2 per cell]
Os 0.114 0.250 0.625 [2 per cell]
I 0.133 0.250 0.119 [2 per cell]
I 0.367 0.750 0.879 [2 per cell]
I 0.394 0.750 0.365 [2 per cell]

***

Record 2
Compound: GaCu2Os2
Source: the Alexandria database
Functional: GGA-PBE
Structure: optimized geometry

Properties
ΔH_f (0 K) in kJ/mol of formula units: 329
Fermi-level density of states in states/eV/atom: 1.0384
Crystal system: tetragonal
Relative energy among the computed polymorphs in eV per atom: 0.142
Energy in eV per atom: -6.055

Lattice parameters (Å, degrees): 3.550 3.550 12.627 90.00 90.00 90.00
Space group I4/mmm (No. 139)
Inequivalent atoms, fractional coordinates:
Ga 0.000 0.000 0.000 [2 per cell]
Cu 0.000 0.000 0.405 [4 per cell]
Os 0.000 0.500 0.250 [4 per cell]

***

Record 3
Compound: Li4NiHg
Source: the Alexandria database
Functional: GGA-PBE
Structure: optimized geometry

Properties
ΔH_f (0 K) in kJ/mol of formula units: 35
Fermi-level density of states in states/eV/atom: 0.4875
Crystal system: cubic
Energy in eV per atom: -2.229

Lattice parameters (Å, degrees): 6.998 6.998 6.998 90.00 90.00 90.00
Space group F-43m (No. 216)
Inequivalent atoms, fractional coordinates:
Li 0.124 0.124 0.124 [16 per cell]
Ni 0.250 0.250 0.750 [4 per cell]
Hg 0.000 0.000 0.500 [4 per cell]

***

Record 4
Compound: GdTmSiAu
Source: the Alexandria database
Functional: GGA-PBE
Structure: optimized geometry

Properties
Fermi-level density of states in states/eV/atom: 0.8580
Crystal system: cubic
Energy in eV per atom: -7.482

Lattice parameters (Å, degrees): 7.118 7.118 7.118 90.00 90.00 90.00
Space group F-43m (No. 216)
Inequivalent atoms, fractional coordinates:
Gd 0.000 0.000 0.000 [4 per cell]
Tm 0.000 0.000 0.500 [4 per cell]
Si 0.250 0.250 0.750 [4 per cell]
Au 0.250 0.250 0.250 [4 per cell]

***

Question: Among the records above, which one has the highest energy?
Answer: Li4NiHg

***

Question: What is the energy in the fourth record?
Answer: -7.482 eV per atom

***

Please write out number 4 again, unchanged.
Compound: GdTmSiAu
Source: the Alexandria database
Functional: GGA-PBE
Structure: optimized geometry

Properties
Fermi-level density of states in states/eV/atom: 0.8580
Crystal system: cubic
Energy in eV per atom: -7.482

Lattice parameters (Å, degrees): 7.118 7.118 7.118 90.00 90.00 90.00
Space group F-43m (No. 216)
Inequivalent atoms, fractional coordinates:
Gd 0.000 0.000 0.000 [4 per cell]
Tm 0.000 0.000 0.500 [4 per cell]
Si 0.250 0.250 0.750 [4 per cell]
Au 0.250 0.250 0.250 [4 per cell]